No. 1
# PBE Ba6Hg2P, optimized geometry
data_Ba6Hg2P
_chemical_formula_sum 'Ba12 Hg4 P2'
_cell_length_a 8.0280
_cell_length_b 8.9762
_cell_length_c 14.3773
_cell_angle_alpha 90.00
_cell_angle_beta 123.10
_cell_angle_gamma 90.00
_symmetry_space_group_name_H-M 'P 1 21/c 1'
_symmetry_Int_Tables_number 14
loop_
_symmetry_equiv_pos_as_xyz
'x,y,z'
'-x,-y,-z'
'-x,y+1/2,-z+1/2'
'x,-y+1/2,z+1/2'
loop_
_atom_site_label
_atom_site_fract_x
_atom_site_fract_y
_atom_site_fract_z
Ba1 0.1082 0.0408 0.2428
Ba2 0.2271 0.6930 0.0618
Ba3 0.3844 0.1798 0.0659
Hg1 0.2980 0.1037 0.7498
P1 0.0000 0.0000 0.0000
# N(E_F): 21.277 states/eV per cell
# Total magnetization: 0.53 μB/f.u.
# Energy relative to the elements: -0.48 eV/atom

No. 2
# PBE Sc4TeAs, optimized geometry
data_Sc4TeAs
_chemical_formula_sum 'Sc16 Te4 As4'
_cell_length_a 8.1877
_cell_length_b 8.1877
_cell_length_c 8.1877
_cell_angle_alpha 90.00
_cell_angle_beta 90.00
_cell_angle_gamma 90.00
_symmetry_space_group_name_H-M 'F -4 3 m'
_symmetry_Int_Tables_number 216
_symmetry_space_group_name_Hall 'F -4 2 3'
loop_
_atom_site_label
_atom_site_fract_x
_atom_site_fract_y
_atom_site_fract_z
Sc1 0.1255 0.1255 0.1255
Te1 0.2500 0.2500 0.7500
As1 0.0000 0.0000 0.5000
# N(E_F): 30.556 states/eV per cell
# Formation energy from raw total energies: -0.42 eV/f.u.
# Total magnetization: 0.00 μB/f.u.